(1)
A geometry-optimized ScZnCo2Ge2 structure. Source: Alexandria, functional PBE-GGA.

The structure in CIF format:
```
data_ScZnCo2Ge2
_cell_length_a 4.0253
_cell_length_b 4.0253
_cell_length_c 6.2494
_cell_angle_alpha 90.00
_cell_angle_beta 90.00
_cell_angle_gamma 120.00
_symmetry_space_group_name_H-M 'P -3 m 1'
_symmetry_Int_Tables_number 164
_symmetry_space_group_name_Hall '-P 3 2"'
loop_
_atom_site_label
_atom_site_type_symbol
_atom_site_fract_x
_atom_site_fract_y
_atom_site_fract_z
Sc1 Sc 0.0000 0.0000 0.0000
Zn1 Zn 0.0000 0.0000 0.5000
Co1 Co 0.3333 0.6667 0.6467
Ge1 Ge 0.3333 0.6667 0.2546
```

E   -5.590 eV/atom
Total magnetic moment   0.00 μB per cell
Density of states at the Fermi level   0.659 states/eV/atom

(2)
A geometry-optimized Sc2ZnCo5Ge2 structure. Source: Alexandria, functional PBE-GGA.

The structure in CIF format:
```
data_Sc2ZnCo5Ge2
_cell_length_a 9.102
_cell_length_b 9.102
_cell_length_c 3.331
_cell_angle_alpha 90.00
_cell_angle_beta 90.00
_cell_angle_gamma 90.00
_symmetry_space_group_name_H-M 'P 4/m b m'
_symmetry_Int_Tables_number 127
_symmetry_space_group_name_Hall '-P 4 2ab'
loop_
_atom_site_label
_atom_site_type_symbol
_atom_site_fract_x
_atom_site_fract_y
_atom_site_fract_z
Sc1 Sc 0.172 0.328 0.000
Zn1 Zn 0.000 0.000 0.000
Co1 Co 0.000 0.500 0.500
Co2 Co 0.064 0.796 0.500
Ge1 Ge 0.127 0.627 0.000
```

E   -6.169 eV/atom
Total magnetic moment   0.00 μB per cell
Density of states at the Fermi level   0.418 states/eV/atom

(3)
A geometry-optimized Co3GeSe structure. Source: Alexandria, functional PBE-GGA.

The structure in CIF format:
```
data_Co3GeSe
_cell_length_a 4.357
_cell_length_b 4.357
_cell_length_c 4.357
_cell_angle_alpha 90.00
_cell_angle_beta 90.00
_cell_angle_gamma 90.00
_symmetry_space_group_name_H-M 'P m -3 m'
_symmetry_Int_Tables_number 221
_symmetry_space_group_name_Hall '-P 4 2 3'
loop_
_atom_site_label
_atom_site_type_symbol
_atom_site_fract_x
_atom_site_fract_y
_atom_site_fract_z
Co1 Co 0.000 0.000 0.500
Ge1 Ge 0.500 0.500 0.500
Se1 Se 0.000 0.000 0.000
```

E_form (uncorrected)   670 meV/atom
E   -5.214 eV/atom
Distance to the lowest polymorph of the same formula   0 meV per atom
Total magnetic moment   3.03 μB per cell
Density of states at the Fermi level   0.707 states/eV/atom

Theoretical density / g cm⁻³: 7.073; 7.164; 6.595